1.
Here is crystalline ZrBi at its relaxed geometry from Alexandria via LeMat-Bulk. Energies are from PBE.

Cell lengths 4.9652, 3.8494, 10.8511 Å; angles 90.00, 99.80, 90.00 degrees
Closest atoms and distances in Å follow each position.
Element x y z (fractional)
Bi  0.2978  0.0000  0.1215  7 Zr 3.07-3.16
Zr  0.2044  0.0000  0.3943  7 Bi 3.07-3.16, 2 Zr 3.31-3.40
Bi  0.2978  0.5000  0.6215  7 Zr 3.07-3.16
Bi  0.7022  0.0000  0.8785  7 Zr 3.07-3.16
Zr  0.7956  0.5000  0.1057  7 Bi 3.07-3.16, 2 Zr 3.31-3.40
Zr  0.2044  0.5000  0.8943  7 Bi 3.07-3.16, 2 Zr 3.31-3.40
Bi  0.7022  0.5000  0.3785  7 Zr 3.07-3.16
Zr  0.7956  0.0000  0.6057  7 Bi 3.07-3.16, 2 Zr 3.31-3.40

Properties
Calculated total energy in eV per atom: -6.46
DOS at the Fermi energy in states/eV/atom: 1.017
Spin magnetization in μB/cell: 0.00
E_form in eV/atom: -0.249



2.
Here is crystalline Fe2HgAu at its relaxed geometry from Alexandria via LeMat-Bulk. Energies are from PBE.

Cell lengths 4.9449, 4.9449, 4.7708 Å; angles 73.61, 73.61, 35.03 degrees
Closest atoms and distances in Å follow each position.
Element x y z (fractional)
Fe  0.0225  0.0225  0.9951  2 Fe 2.41
Hg  0.4876  0.4876  0.5240  7 Fe 2.79-2.86, 3 Au 2.88-3.00, 2 Hg 2.98
Au  0.2663  0.2663  0.2171  7 Fe 2.75-2.93, 3 Hg 2.88-3.00, 2 Au 2.98
Fe  0.7235  0.7235  0.7638  2 Fe 2.41

Properties
Calculated total energy in eV per atom: -4.84
DOS at the Fermi energy in states/eV/atom: 0.755
Spin magnetization in μB/cell: 5.42
E_form in eV/atom: 0.283